10
Lattice="7.025 0.000 0.000 0.000 7.025 0.000 0.000 0.000 2.863" Properties=species:S:1:pos:R:3 comment="TiFe2W2 PBE-GGA relaxed" rho_g_cm3=12.39 e_tot_ha_per_atom=-0.3676 volume_a3_per_atom=14.13 m_tot_mub_per_cell=0.00 sg="P4/mbm (127)" e_form_mev_per_atom=142 dos_at_fermi_per_ev_cell=16.79 pbc="T T T"
Ti 3.513 3.513 0.000
Ti 0.000 0.000 0.000
Fe 0.912 2.600 0.000
Fe 2.600 6.113 0.000
Fe 4.425 0.912 0.000
Fe 6.113 4.425 0.000
W 1.186 4.698 1.432
W 5.839 2.327 1.432
W 2.327 1.186 1.432
W 4.698 5.839 1.432